## TaAg2Mo (GGA-PBE)

Data for a relaxed TaAg2Mo crystal.

abc: 4.6223 4.6223 4.6223
angles: 60.00 60.00 60.00
Last column: nearest neighbours and their distance in Å.
Element x y z (fractional)
Ag 0.0000 0.0000 0.0000  4 Ta 2.83, 4 Ag 2.83
Ag 0.7500 0.7500 0.7500  4 Mo 2.83, 4 Ag 2.83
Mo 0.5000 0.5000 0.5000  4 Ag 2.83, 4 Ta 2.83
Ta 0.2500 0.2500 0.2500  4 Mo 2.83, 4 Ag 2.83

Results
The calculation puts the formation energy at 614 meV per atom. Its density of states at the Fermi level is 1.43 states/eV/atom. Its relative energy among the computed polymorphs is 422.4 meV per atom. The symmetry is F-43m.